Record 1
The following is a PBE calculation of LaPrNi6B2Pt2 after structural relaxation, from the Open Quantum Materials Database.

abc: 5.2160 5.2160 7.1782
angles: 90.00 90.00 120.00
Closest atoms and distances in Å follow each position.
Fractional coordinates of all 12 atoms:
1 La 0.0000 0.0000 0.0000  12 Ni 2.96, 6 B 3.01
2 Pr 0.0000 0.0000 0.5000  6 Pt 3.01
3 Ni 0.0000 0.5000 0.1942  2 B 2.05
4 Ni 0.0000 0.5000 0.8058  2 B 2.05
5 Ni 0.5000 0.0000 0.1942  2 B 2.05
6 Ni 0.5000 0.0000 0.8058  2 B 2.05
7 Ni 0.5000 0.5000 0.1942  2 B 2.05
8 Ni 0.5000 0.5000 0.8058  2 B 2.05
9 B 0.3333 0.6667 0.0000  6 Ni 2.05
10 B 0.6667 0.3333 0.0000  6 Ni 2.05
11 Pt 0.3333 0.6667 0.5000  6 Ni 2.66
12 Pt 0.6667 0.3333 0.5000  6 Ni 2.66


Record 2
The following is a PBE calculation of Sc2SiAg2Sn after structural relaxation, from the Open Quantum Materials Database.

abc: 10.9864 4.4953 10.9921
angles: 90.00 109.56 90.00
Closest atoms and distances in Å follow each position.
Fractional coordinates of all 24 atoms:
1 Sc 0.0000 0.0000 0.0000  4 Ag 2.74-2.91
2 Sc 0.1167 0.5000 0.3671  4 Ag 2.70-2.84
3 Sc 0.2509 0.0000 0.7428  4 Ag 2.77-2.82
4 Sc 0.3862 0.5000 0.1246  4 Ag 2.71-2.81
5 Sc 0.5128 0.0000 0.5118  4 Ag 2.78-2.82, 1 Si 3.09
6 Sc 0.6334 0.5000 0.8825  4 Ag 2.65-2.70
7 Sc 0.7517 0.0000 0.2514  4 Ag 2.66-2.82
8 Sc 0.8797 0.5000 0.6337  4 Ag 2.69-2.73
9 Si 0.0027 0.0000 0.4974  4 Ag 2.65-2.72
10 Si 0.5086 0.0000 0.0046  4 Ag 2.65-2.72
11 Si 0.7565 0.0000 0.7560  4 Ag 2.70-2.72
12 Si 0.8768 0.5000 0.1257  4 Ag 2.67-2.70
13 Ag 0.1180 0.5000 0.6128  2 Si 2.68, 4 Sc 2.70-2.80, 2 Sn 2.82-2.83
14 Ag 0.2648 0.0000 0.9988  1 Si 2.66, 4 Sc 2.74-2.91, 3 Sn 2.79-2.81
15 Ag 0.3784 0.5000 0.3775  4 Sn 2.76-2.78, 4 Sc 2.81-2.84
16 Ag 0.5140 0.0000 0.7653  2 Si 2.65-2.70, 4 Sc 2.70-2.82, 2 Sn 2.83
17 Ag 0.6326 0.5000 0.1229  4 Sc 2.65-2.74, 3 Si 2.67-2.72, 1 Sn 2.83
18 Ag 0.7670 0.0000 0.5128  2 Si 2.65-2.71, 4 Sc 2.69-2.82, 2 Sn 2.81
19 Ag 0.8739 0.5000 0.8800  4 Sc 2.65-2.74, 3 Si 2.69-2.72, 1 Sn 2.83
20 Ag 0.9922 0.0000 0.2469  4 Sc 2.66-2.74, 3 Si 2.70-2.72, 1 Sn 2.84
21 Sn 0.1299 0.5000 0.8742  4 Ag 2.79-2.83, 1 Sc 3.11
22 Sn 0.2518 0.0000 0.2493  4 Ag 2.77-2.84
23 Sn 0.3799 0.5000 0.6293  4 Ag 2.76-2.83
24 Sn 0.6325 0.5000 0.3802  4 Ag 2.78-2.83


Record 3
The following is a PBE calculation of NdDySn6 after structural relaxation, from the Open Quantum Materials Database.

abc: 3.1509 12.8601 12.8601
angles: 27.94 90.00 90.00
Closest atoms and distances in Å follow each position.
Fractional coordinates of all 8 atoms:
1 Nd 0.0000 0.0000 0.0000  3 Sn 3.13-3.16, 2 Nd 3.15
2 Dy 0.0000 0.8582 0.8582  3 Sn 3.11-3.23, 2 Dy 3.15
3 Sn 0.0000 0.1267 0.1267  5 Sn 2.95-3.15, 1 Nd 3.16
4 Sn 0.0000 0.2451 0.2451  6 Sn 2.95-3.15
5 Sn 0.0000 0.3647 0.3647  4 Sn 2.95-3.15, 2 Dy 3.11
6 Sn 0.0000 0.4828 0.4828  4 Sn 2.95-3.15, 2 Nd 3.13
7 Sn 0.0000 0.6064 0.6064  6 Sn 3.05-3.15
8 Sn 0.0000 0.7287 0.7287  5 Sn 3.05-3.15, 1 Dy 3.23


Record 4
The following is a PBE calculation of Sc2AgHg2 after structural relaxation, from the Open Quantum Materials Database.

- energy of formation (kJ/mol of formula units) = 57

abc: 6.9627 6.9627 6.9627
angles: 142.96 142.96 53.38
Closest atoms and distances in Å follow each position.
Fractional coordinates of all 5 atoms:
1 Sc 0.2500 0.7500 0.5000  4 Hg 2.84, 4 Sc 3.13
2 Sc 0.7500 0.2500 0.5000  4 Hg 2.84, 4 Sc 3.13
3 Ag 0.0000 0.0000 0.0000  8 Hg 3.40
4 Hg 0.3934 0.3934 0.0000  1 Hg 2.65, 4 Sc 2.84
5 Hg 0.6066 0.6066 0.0000  1 Hg 2.65, 4 Sc 2.84


Record 5
The following is a PBE calculation of LaTmNO after structural relaxation, from the Open Quantum Materials Database.

abc: 4.7538 4.7538 5.9949
angles: 90.00 90.00 90.00
Closest atoms and distances in Å follow each position.
Fractional coordinates of all 8 atoms:
1 La 0.2500 0.7500 0.0000  4 N 2.49
2 La 0.7500 0.2500 0.0000  4 N 2.49
3 Tm 0.2500 0.2500 0.4707  1 N 2.10
4 Tm 0.7500 0.7500 0.5293  1 N 2.10
5 N 0.2500 0.2500 0.1212  1 Tm 2.10
6 N 0.7500 0.7500 0.8788  1 Tm 2.10
7 O 0.2500 0.7500 0.5000  4 Tm 2.38
8 O 0.7500 0.2500 0.5000  4 Tm 2.38


Record 6
The following is a PBE calculation of DyEr2Bi3 after structural relaxation, from the Open Quantum Materials Database.

abc: 4.4417 4.4417 10.9095
angles: 90.00 90.00 120.00
Closest atoms and distances in Å follow each position.
Fractional coordinates of all 6 atoms:
1 Dy 0.0000 0.0000 0.0000  6 Bi 3.15
2 Er 0.3333 0.6667 0.3334  6 Bi 3.14
3 Er 0.6667 0.3333 0.6666  6 Bi 3.14
4 Bi 0.0000 0.0000 0.5000  6 Er 3.14
5 Bi 0.3333 0.6667 0.8322  3 Er 3.14, 3 Dy 3.15
6 Bi 0.6667 0.3333 0.1678  3 Er 3.14, 3 Dy 3.15


no.,volume (Å³ per cell),electronic total energy (eV per atom),ρ (g cm⁻³)
1,169.1,-6.273,10.25
2,511.5,-4.970,5.87
3,244.2,-4.056,6.93
4,121.7,-3.097,8.17
5,135.5,-7.733,8.28
6,186.4,-5.157,10.01